# Zr2MnCr

Crystalline Zr2MnCr at its relaxed geometry (PBE, Alexandria via LeMat-Bulk).

Values from the calculation:
Total magnetic moment ... 0.1 μB per cell
Formation energy ... 0.24 eV/f.u.
Excess energy over the best structure of this formula in the dataset ... 0.000 eV per atom
Calculated volume ... 17.13 A^3/atom
Density of states at the Fermi level ... 3.2 states/eV/cell

Unit cell a=2.923 b=2.923 c=8.020 alpha=90.00 beta=90.00 gamma=90.00
Fractional positions:
Zr 0.000 0.000 0.000
Zr 0.500 0.500 0.361
Mn 0.500 0.500 0.757
Cr 0.000 0.000 0.607